1.
An optimized crystal structure of BaV3Si. Source: the Alexandria database, functional PBE.

Calculated values
The formation energy (no corrections) comes out at 0.80 eV/atom. The calculation puts the relative energy among the computed polymorphs at 0.0000 eV/atom.

```
BaV3Si
1.0
-1.624 -2.688 -3.790
4.640 -1.156 -1.167
-0.253 -3.957 2.916
Si Ba V
1 1 3
Direct
0.000 0.000 0.000 Si
0.500 0.500 0.500 Ba
0.000 0.500 0.000 V
0.000 0.000 0.500 V
0.500 0.000 0.000 V
```

=====

2.
An optimized crystal structure of Na2AgCl4. Source: the Alexandria database, functional PBE.

Calculated values
The formation energy (no corrections) comes out at -1.17 eV/atom. The calculation puts the relative energy among the computed polymorphs at 0.0000 eV/atom.

```
Na2AgCl4
1.0
-0.456 6.806 -0.908
-1.548 -1.111 -7.546
-12.886 -0.501 2.717
Na Ag Cl
8 4 16
Direct
0.994 0.885 0.856 Na
0.494 0.615 0.144 Na
0.006 0.385 0.644 Na
0.506 0.115 0.356 Na
0.006 0.115 0.144 Na
0.506 0.385 0.856 Na
0.994 0.615 0.356 Na
0.494 0.885 0.644 Na
0.000 0.000 0.500 Ag
0.500 0.500 0.500 Ag
0.000 0.500 0.000 Ag
0.500 0.000 0.000 Ag
0.797 0.661 0.553 Cl
0.297 0.839 0.447 Cl
0.203 0.161 0.947 Cl
0.703 0.339 0.053 Cl
0.203 0.339 0.447 Cl
0.703 0.161 0.553 Cl
0.797 0.839 0.053 Cl
0.297 0.661 0.947 Cl
0.132 0.039 0.675 Cl
0.632 0.461 0.325 Cl
0.868 0.539 0.825 Cl
0.368 0.961 0.175 Cl
0.868 0.961 0.325 Cl
0.368 0.539 0.675 Cl
0.132 0.461 0.175 Cl
0.632 0.039 0.825 Cl
```

=====

3.
An optimized crystal structure of ScGeRu2. Source: the Alexandria database, functional PBE.

Calculated values
The formation energy is -0.5504 eV per atom.

```
ScGeRu2
1.0
-0.898 3.049 -0.186
-0.921 -0.013 4.233
4.053 1.248 0.886
Sc Ru Ge
1 2 1
Direct
0.500 0.500 0.500 Sc
0.000 0.000 0.500 Ru
0.000 0.500 0.000 Ru
0.500 0.000 0.000 Ge
```

=====

4.
An optimized crystal structure of Nd6InCo2Br3. Source: the Alexandria database, functional PBE.

Calculated values
The formation energy (no corrections) comes out at -0.73 eV/atom.

```
Nd6InCo2Br3
1.0
-1.799 -2.763 2.289
8.208 -2.550 3.371
-2.752 8.712 4.836
Nd In Co Br
6 1 2 3
Direct
0.333 0.859 0.666 Nd
0.686 0.570 0.371 Nd
0.667 0.141 0.334 Nd
0.038 0.277 0.076 Nd
0.962 0.723 0.924 Nd
0.314 0.430 0.629 Nd
0.500 0.000 0.000 In
0.826 0.649 0.652 Co
0.174 0.351 0.348 Co
0.500 0.500 0.000 Br
0.829 0.155 0.658 Br
0.171 0.845 0.342 Br
```

=====

no.,uncorrected energy (eV per atom)
1,-6.14
2,-3.01
3,-7.93
4,-4.94